Model P:
VASP calculation (PBE-GGA) on a relaxed ZrRuPb2 crystal.

ρ (g/cm³): 10.5
N(E_F) (states/eV/cell): 2.69

Unit cell a=3.374 b=3.374 c=8.462 alpha=90.00 beta=90.00 gamma=90.00
Space group P4mm (No. 99)
Asymmetric unit:
Zr: 0.000 0.000 0.000 (multiplicity 1)
Ru: 0.500 0.500 0.846 (multiplicity 1)
Pb: 0.000 0.000 0.611 (multiplicity 1)
Pb: 0.500 0.500 0.268 (multiplicity 1)

***

Model Q:
VASP calculation (PBE-GGA) on a relaxed ZrRuPb2 crystal.

ρ (g/cm³): 11.7
N(E_F) (states/eV/cell): 3.22

Unit cell a=4.182 b=4.329 c=4.774 alpha=90.00 beta=90.00 gamma=90.00
Space group Pmmm (No. 47)
Asymmetric unit:
Zr: 0.000 0.000 0.000 (multiplicity 1)
Ru: 0.500 0.000 0.500 (multiplicity 1)
Pb: 0.000 0.500 0.500 (multiplicity 1)
Pb: 0.500 0.500 0.000 (multiplicity 1)

***

The most stable arrangement is model P, and the next structure is 318 meV/atom less stable.

***

Model P:
VASP calculation (PBE-GGA) on a relaxed ZrRuPb2 crystal.

ρ (g/cm³): 11.7
N(E_F) (states/eV/cell): 4.56

Unit cell a=4.292 b=4.292 c=9.371 alpha=90.00 beta=90.00 gamma=90.00
Space group I-4m2 (No. 119)
Asymmetric unit:
Zr: 0.000 0.000 0.000 (multiplicity 2)
Ru: 0.000 0.500 0.250 (multiplicity 2)
Pb: 0.000 0.000 0.500 (multiplicity 2)
Pb: 0.000 0.500 0.750 (multiplicity 2)

***

Model Q:
VASP calculation (PBE-GGA) on a relaxed ZrRuPb2 crystal.

ρ (g/cm³): 10.7
N(E_F) (states/eV/cell): 17.34

Unit cell a=4.270 b=4.270 c=20.753 alpha=90.00 beta=90.00 gamma=90.00
Space group I-42d (No. 122)
Asymmetric unit:
Zr: 0.000 0.000 0.000 (multiplicity 4)
Ru: 0.000 0.000 0.500 (multiplicity 4)
Pb: 0.241 0.250 0.625 (multiplicity 8)

***

The most stable arrangement is model P, and the next structure is 214 meV/atom less stable.

***

Model P:
VASP calculation (PBE-GGA) on a relaxed ZrRuPb2 crystal.

ρ (g/cm³): 11.8
N(E_F) (states/eV/cell): 3.05

Unit cell a=5.000 b=5.000 c=3.412 alpha=90.00 beta=90.00 gamma=90.00
Space group P4/mmm (No. 123)
Asymmetric unit:
Zr: 0.000 0.000 0.000 (multiplicity 1)
Ru: 0.500 0.500 0.000 (multiplicity 1)
Pb: 0.000 0.500 0.500 (multiplicity 2)

***

Model Q:
VASP calculation (PBE-GGA) on a relaxed ZrRuPb2 crystal.

ρ (g/cm³): 11.4
N(E_F) (states/eV/cell): 7.84

Unit cell a=3.341 b=5.343 c=9.891 alpha=90.00 beta=90.00 gamma=90.00
Space group Immm (No. 71)
Asymmetric unit:
Zr: 0.000 0.000 0.000 (multiplicity 2)
Ru: 0.000 0.000 0.500 (multiplicity 2)
Pb: 0.000 0.500 0.224 (multiplicity 4)

***

The most stable arrangement is model Q, and the next structure is 72 meV/atom less stable.

***

Model P:
VASP calculation (PBE-GGA) on a relaxed ZrRuPb2 crystal.

ρ (g/cm³): 10.5
N(E_F) (states/eV/cell): 8.19

Unit cell a=3.4354 b=3.4354 c=28.2430 alpha=90.00 beta=90.00 gamma=120.00
Space group R3m (No. 160, hexagonal axes)
Asymmetric unit:
Zr: 0.0000 0.0000 0.0000 (multiplicity 3)
Ru: 0.0000 0.0000 0.7282 (multiplicity 3)
Pb: 0.0000 0.0000 0.2408 (multiplicity 3)
Pb: 0.0000 0.0000 0.4718 (multiplicity 3)

***

Model Q:
VASP calculation (PBE-GGA) on a relaxed ZrRuPb2 crystal.

ρ (g/cm³): 11.5
N(E_F) (states/eV/cell): 3.17

Unit cell a=3.322 b=4.520 c=5.919 alpha=90.00 beta=98.71 gamma=90.00
Space group P2/m (No. 10)
Asymmetric unit:
Zr: 0.000 0.000 0.000 (multiplicity 1)
Ru: 0.500 0.000 0.500 (multiplicity 1)
Pb: 0.321 0.500 0.737 (multiplicity 2)

***

The most stable arrangement is model P, and the next structure is 136 meV/atom less stable.

***

Model P:
VASP calculation (PBE-GGA) on a relaxed PbS4 crystal.

ρ (g/cm³): 3.8
N(E_F) (states/eV/cell): 5.15

Unit cell a=5.274 b=5.274 c=5.274 alpha=90.00 beta=90.00 gamma=90.00
Space group Pm-3m (No. 221)
Asymmetric unit:
Pb: 0.000 0.000 0.000 (multiplicity 1)
S: 0.000 0.000 0.500 (multiplicity 3)
S: 0.500 0.500 0.500 (multiplicity 1)

***

Model Q:
VASP calculation (PBE-GGA) on a relaxed PbS4 crystal.

ρ (g/cm³): 4.0
N(E_F) (states/eV/cell): 0.25

Unit cell a=4.807 b=4.908 c=6.899 alpha=98.55 beta=92.63 gamma=118.85
Space group P-1 (No. 2)
Asymmetric unit:
Pb: 0.000 0.000 0.000 (multiplicity 1)
S: 0.251 0.570 0.522 (multiplicity 2)
S: 0.293 0.597 0.822 (multiplicity 2)

***

The most stable arrangement is model Q, and the next structure is 1180 meV/atom less stable.